(1)
{"formula": "BaDy2Ga3Ge2Pt", "functional": "PBE", "state": "relaxed", "lattice": [[4.316, 0.000, 0.000], [0.000, 6.444, 3.621], [0.000, -6.444, 3.621]], "species": ["Dy", "Dy", "Ga", "Ga", "Ga", "Ge", "Ge", "Ba", "Pt"], "fractional_positions": [[0.000, 0.401, 0.996], [0.000, 0.996, 0.401], [0.500, 0.222, 0.222], [0.500, 0.774, 0.012], [0.500, 0.012, 0.774], [0.500, 0.680, 0.313], [0.500, 0.313, 0.680], [0.000, 0.580, 0.580], [0.000, 0.022, 0.022]], "total_magnetization_mub_per_atom": 0.00, "space_group": "Amm2", "dft_energy_ev_per_cell": -41.76, "crystal_system": "orthorhombic"}

(2)
{"formula": "BaDyGa4Pt2", "functional": "PBE", "state": "relaxed", "lattice": [[-1.045, -5.935, -3.726], [-5.684, 0.524, 0.760], [-4.265, 2.568, -2.894]], "species": ["Pt", "Pt", "Ga", "Ga", "Ga", "Ga", "Dy", "Ba"], "fractional_positions": [[0.000, 0.795, 0.795], [0.500, 0.207, 0.207], [0.683, 0.642, 0.642], [0.317, 0.642, 0.642], [0.795, 0.359, 0.359], [0.205, 0.359, 0.359], [0.500, 0.918, 0.918], [0.000, 0.077, 0.077]], "total_magnetization_mub_per_atom": 0.00, "space_group": "Amm2", "dft_energy_ev_per_cell": -36.29, "crystal_system": "orthorhombic"}

(3)
{"formula": "BaDyGaS3", "functional": "PBE", "state": "relaxed", "lattice": [[2.022, -7.158, 0.000], [2.022, 7.158, 0.000], [0.000, 0.000, 11.283]], "species": ["S", "S", "S", "S", "S", "S", "Ba", "Ba", "Dy", "Dy", "Ga", "Ga"], "fractional_positions": [[0.373, 0.627, 0.007], [0.007, 0.993, 0.250], [0.627, 0.373, 0.507], [0.373, 0.627, 0.493], [0.627, 0.373, 0.993], [0.993, 0.007, 0.750], [0.693, 0.307, 0.250], [0.307, 0.693, 0.750], [0.000, 0.000, 0.000], [0.000, 0.000, 0.500], [0.389, 0.611, 0.250], [0.611, 0.389, 0.750]], "total_magnetization_mub_per_atom": 0.00, "space_group": "Cmcm", "dft_energy_ev_per_cell": -61.42, "crystal_system": "orthorhombic"}

(4)
{"formula": "BaGdDy", "functional": "PBE", "state": "relaxed", "lattice": [[0.000, 4.099, 4.099], [4.099, 0.000, 4.099], [4.099, 4.099, 0.000]], "species": ["Gd", "Ba", "Dy"], "fractional_positions": [[0.500, 0.500, 0.500], [0.000, 0.000, 0.000], [0.750, 0.750, 0.750]], "total_magnetization_mub_per_atom": 0.01, "space_group": "F-43m", "dft_energy_ev_per_cell": -8.72, "crystal_system": "cubic"}